Below is a relaxed structure of CoSeCl2, with properties calculated at the PBE-GGA level.

Computed properties:
Crystal system: orthorhombic
Size of the total moment (Bohr magnetons per cell): 2.39
Energy relative to the elements, uncorrected (meV per atom): 398
Energy relative to the lowest polymorph listed for this composition (eV per formula unit): 2.58

Geometry as CIF:
```
data_CoSeCl2
_chemical_formula_sum 'Co1 Se1 Cl2'
_cell_length_a 3.2102
_cell_length_b 4.0914
_cell_length_c 6.3091
_cell_angle_alpha 90.00
_cell_angle_beta 90.00
_cell_angle_gamma 90.00
_symmetry_space_group_name_H-M 'P m m m'
_symmetry_Int_Tables_number 47
loop_
_symmetry_equiv_pos_as_xyz
'x,y,z'
'-x,-y,-z'
'-x,-y,z'
'x,y,-z'
'x,-y,-z'
'-x,y,z'
'-x,y,-z'
'x,-y,z'
loop_
_atom_site_label
_atom_site_type_symbol
_atom_site_fract_x
_atom_site_fract_y
_atom_site_fract_z
Co1 Co 0.0000 0.0000 0.0000
Se1 Se 0.5000 0.0000 0.5000
Cl1 Cl 0.0000 0.5000 0.5000
Cl2 Cl 0.5000 0.5000 0.0000
```